A plane-wave DFT calculation with PBE-GGA was carried out for a geometry-optimized Nd3Al9Ni2 structure.

The structure in POSCAR format:
```
Nd3Al9Ni2
1.0
4.304 0.000 0.000
2.152 7.989 -0.086
2.152 1.727 7.800
Al Nd Ni
9 3 2
direct
0.881 0.399 0.839 Al
0.341 0.022 0.296 Al
0.659 0.704 0.978 Al
0.119 0.601 0.161 Al
0.119 0.161 0.601 Al
0.659 0.978 0.704 Al
0.881 0.839 0.399 Al
0.000 0.500 0.500 Al
0.341 0.296 0.022 Al
0.000 0.000 0.000 Nd
0.686 0.314 0.314 Nd
0.314 0.686 0.686 Nd
0.500 0.285 0.715 Ni
0.500 0.715 0.285 Ni
```

DFT formation energy: -0.50 eV/atom
E_tot: -4.75 eV per atom
Symmetry: Immm
Magnetization: 0.00 Bohr magnetons per cell
D(E_F): 6.82 states/eV/cell